VASP calculation (PBE) on Pr2Ho13 after structural relaxation.

Cell lengths 6.5962, 8.7176, 8.9842 Å; angles 110.89, 83.98, 99.32 degrees
Closest atoms and distances in Å follow each position.
Fractional coordinates of all 15 atoms:
Ho 0.5330 0.1970 0.0646  6 Ho 3.18-3.54, 1 Pr 3.52
Ho 0.8645 0.1983 0.7363  1 Pr 3.17, 5 Ho 3.33-3.53
Ho 0.7621 0.5751 0.0246  10 Ho 3.33-3.52
Ho 0.4670 0.8030 0.9354  6 Ho 3.18-3.54, 1 Pr 3.52
Ho 0.0000 0.0000 0.0000  12 Ho 3.51-3.85, 2 Pr 3.64
Ho 0.3347 0.0021 0.6695  11 Ho 3.51-3.86, 3 Pr 3.65-3.67
Ho 0.0961 0.5764 0.6941  8 Ho 3.33-3.55, 2 Pr 3.35-3.57
Ho 0.4298 0.5777 0.3584  8 Ho 3.33-3.54, 2 Pr 3.35-3.56
Ho 0.5702 0.4223 0.6416  8 Ho 3.33-3.54, 2 Pr 3.35-3.56
Ho 0.6653 0.9979 0.3305  11 Ho 3.51-3.86, 3 Pr 3.65-3.67
Ho 0.9039 0.4236 0.3059  8 Ho 3.33-3.55, 2 Pr 3.35-3.57
Ho 0.1355 0.8017 0.2637  1 Pr 3.17, 5 Ho 3.33-3.53
Ho 0.2379 0.4249 0.9754  10 Ho 3.33-3.52
Pr 0.1993 0.1940 0.3968  4 Ho 3.17-3.52
Pr 0.8007 0.8060 0.6032  4 Ho 3.17-3.52

Summary:
Energy relative to the elements (eV per atom): 0.0481
ρ (kg/m3): 8469
VASP energy (eV/cell): -68.3
Calculated volume (Å³ per atom): 31.7
M_tot (μB per formula unit): 0.001


VASP calculation (PBE) on Mg8Hg2Pb3 after structural relaxation.

Cell lengths 5.9594, 5.9594, 11.4555 Å; angles 74.92, 74.92, 60.00 degrees
Closest atoms and distances in Å follow each position.
Fractional coordinates of all 13 atoms:
Mg 0.2669 0.7720 0.6942  1 Hg 2.90, 4 Mg 2.95-3.01
Mg 0.7180 0.7180 0.8459  1 Hg 2.71
Mg 0.7720 0.2669 0.6942  1 Hg 2.90, 4 Mg 2.95-3.01
Mg 0.7331 0.7331 0.3058  1 Hg 2.90, 4 Mg 2.95-3.01
Mg 0.2280 0.7331 0.3058  1 Hg 2.90, 4 Mg 2.95-3.01
Mg 0.7331 0.2280 0.3058  1 Hg 2.90, 4 Mg 2.95-3.01
Mg 0.2820 0.2820 0.1541  1 Hg 2.71
Mg 0.2669 0.2669 0.6942  1 Hg 2.90, 4 Mg 2.95-3.01
Hg 0.3646 0.3646 0.9063  4 Mg 2.71-2.90
Hg 0.6354 0.6354 0.0937  4 Mg 2.71-2.90
Pb 0.0000 0.0000 0.0000  6 Hg 3.59, 12 Mg 3.75-3.83
Pb 0.1886 0.1886 0.4343  10 Mg 3.06-3.31
Pb 0.8114 0.8114 0.5657  10 Mg 3.06-3.31

Summary:
Energy relative to the elements (eV per atom): 0.0032
ρ (kg/m3): 6014
VASP energy (eV/cell): -24.4
Calculated volume (Å³ per atom): 25.9
M_tot (μB per formula unit): 0.000


VASP calculation (PBE) on CsLi3Mg after structural relaxation.

Cell lengths 5.5393, 5.5393, 5.5393 Å; angles 90.00, 90.00, 90.00 degrees
Closest atoms and distances in Å follow each position.
Fractional coordinates of all 5 atoms:
Li 0.0000 0.5000 0.0000  2 Cs 2.77
Li 0.0000 0.0000 0.5000  2 Cs 2.77
Li 0.5000 0.0000 0.0000  2 Cs 2.77
Cs 0.0000 0.0000 0.0000  6 Li 2.77
Mg 0.5000 0.5000 0.5000  12 Li 3.92

Summary:
Polymorph energy (0 for the lowest one) (meV per atom): 617
Energy relative to the elements (eV per atom): 0.8665
ρ (kg/m3): 1739
VASP energy (eV/cell): -3.9
Calculated volume (Å³ per atom): 34.0
M_tot (μB per formula unit): 0.000